Entry 1:
PrGdTlHg: optimized geometry, PBE.

Cell: 7.698 7.698 7.698 Å, 90.00 90.00 90.00°
Space group F-43m (No. 216)
Inequivalent atoms, fractional coordinates:
Pr1 0.000 0.000 0.000 [4 per cell]
Gd1 0.000 0.000 0.500 [4 per cell]
Tl1 0.250 0.250 0.250 [4 per cell]
Hg1 0.250 0.250 0.750 [4 per cell]

Summary:
Final energy = -0.428 Ry/atom
Density of states at the Fermi level = 1.0023 states/eV/atom

Entry 2:
PrGdYHg: optimized geometry, PBE.

Cell: 7.764 7.764 7.764 Å, 90.00 90.00 90.00°
Space group F-43m (No. 216)
Inequivalent atoms, fractional coordinates:
Pr1 0.000 0.000 0.000 [4 per cell]
Gd1 0.250 0.250 0.750 [4 per cell]
Y1 0.000 0.000 0.500 [4 per cell]
Hg1 0.250 0.250 0.250 [4 per cell]

Summary:
Final energy = -0.477 Ry/atom
Density of states at the Fermi level = 1.6779 states/eV/atom

Entry 3:
PrGdZnHg: optimized geometry, PBE.

Cell: 7.489 7.489 7.489 Å, 90.00 90.00 90.00°
Space group F-43m (No. 216)
Inequivalent atoms, fractional coordinates:
Pr1 0.000 0.000 0.000 [4 per cell]
Gd1 0.000 0.000 0.500 [4 per cell]
Zn1 0.250 0.250 0.750 [4 per cell]
Hg1 0.250 0.250 0.250 [4 per cell]

Summary:
Final energy = -0.404 Ry/atom
Density of states at the Fermi level = 1.1000 states/eV/atom